Entry i
# BeZnSBr | Alexandria | GGA-PBE | relaxed
data_BeZnSBr
_chemical_formula_sum 'Be2 Zn2 S2 Br2'
_cell_length_a 15.3182
_cell_length_b 3.6770
_cell_length_c 3.4491
_cell_angle_alpha 90.00
_cell_angle_beta 102.58
_cell_angle_gamma 90.00
_symmetry_space_group_name_H-M 'P 1'
_symmetry_Int_Tables_number 1
loop_
_symmetry_equiv_pos_as_xyz
'x,y,z'
loop_
_atom_site_label
_atom_site_fract_x
_atom_site_fract_y
_atom_site_fract_z
Be1 0.0000 0.0000 0.0000
Be2 0.5000 0.5000 0.0000
Zn1 0.1828 0.5000 0.6766
Zn2 0.6828 0.0000 0.6766
S1 0.0791 0.0000 0.5765
S2 0.5791 0.5000 0.5765
Br1 0.4114 0.0000 0.9136
Br2 0.9114 0.5000 0.9136
# - SG = Cm
# - DOS at the Fermi energy (states/eV per cell) = 4.4
# - total magnetization (μB per formula unit) = 0.00

Entry ii
# BeZnSBr | Alexandria | GGA-PBE | relaxed
data_BeZnSBr
_chemical_formula_sum 'Be1 Zn1 S1 Br1'
_cell_length_a 3.5145
_cell_length_b 4.8372
_cell_length_c 5.5979
_cell_angle_alpha 76.99
_cell_angle_beta 81.32
_cell_angle_gamma 79.42
_symmetry_space_group_name_H-M 'P 1'
_symmetry_Int_Tables_number 1
loop_
_symmetry_equiv_pos_as_xyz
'x,y,z'
loop_
_atom_site_label
_atom_site_fract_x
_atom_site_fract_y
_atom_site_fract_z
Be1 0.0000 0.0000 0.0000
Zn1 0.4241 0.6906 0.7305
S1 0.4928 0.1702 0.8467
Br1 0.9922 0.6962 0.3484
# - SG = P1
# - DOS at the Fermi energy (states/eV per cell) = 0.9
# - total magnetization (μB per formula unit) = 0.00

Going by the computed energies, the most stable comes first: entry ii, entry i.